This record from Alexandria describes a geometry-optimized Ba2Ga2Pb structure. The functional is PBE.

```
Ba2Ga2Pb
1.0
7.977 0.000 0.000
0.000 7.977 0.000
0.000 0.000 5.232
Ba Ga Pb
4 4 2
Direct
0.187 0.313 0.000
0.313 0.813 0.000
0.687 0.187 0.000
0.813 0.687 0.000
0.114 0.614 0.500
0.386 0.114 0.500
0.614 0.886 0.500
0.886 0.386 0.500
0.000 0.000 0.500
0.500 0.500 0.500
```

Calculated values
For the energy above the most stable polymorph in this dataset, the calculation gives 0 meV/atom. Its symmetry is P4/mbm (127). The calculation puts the density at 6.2 g/cm³. Its formation energy from the elements is -393 meV/atom.

This record from Alexandria describes a geometry-optimized PrEr2MgAg4 structure. The functional is PBE.

```
PrEr2MgAg4
1.0
2.526 1.458 8.449
-2.526 1.458 8.449
0.000 -2.917 8.449
Pr Er Mg Ag
1 2 1 4
Direct
0.000 0.000 0.000
0.245 0.245 0.245
0.755 0.755 0.755
0.500 0.500 0.500
0.126 0.126 0.126
0.385 0.385 0.385
0.615 0.615 0.615
0.874 0.874 0.874
```

Calculated values
Its symmetry is R-3m (166). The calculation puts the density at 8.3 g/cm³. Its formation energy from the elements is -261 meV/atom.

This record from Alexandria describes a geometry-optimized La2ScC structure. The functional is PBE.

```
La2ScC
1.0
3.596 0.000 0.000
-1.798 3.114 0.000
0.000 0.000 29.584
La Sc C
6 3 3
Direct
0.000 0.000 0.117
0.000 0.000 0.883
0.333 0.667 0.550
0.333 0.667 0.783
0.667 0.333 0.217
0.667 0.333 0.450
0.000 0.000 0.000
0.333 0.667 0.667
0.667 0.333 0.333
0.000 0.000 0.500
0.333 0.667 0.167
0.667 0.333 0.833
```

Calculated values
Its symmetry is R-3m (166). The calculation puts the density at 5.0 g/cm³. Its formation energy from the elements is 151 meV/atom.

This record from Alexandria describes a geometry-optimized Pm7Dy4Pu structure. The functional is PBE.

```
Pm7Dy4Pu
1.0
5.657 -2.752 0.000
5.657 2.752 0.000
-3.634 0.000 12.784
Pm Dy Pu
7 4 1
Direct
0.000 0.000 0.000
0.141 0.141 0.471
0.280 0.280 0.103
0.336 0.336 0.743
0.664 0.664 0.257
0.720 0.720 0.897
0.859 0.859 0.529
0.042 0.042 0.778
0.410 0.410 0.372
0.590 0.590 0.628
0.958 0.958 0.222
0.500 0.500 0.000
```

Calculated values
Its symmetry is C2/m (12). The calculation puts the density at 8.0 g/cm³. Its formation energy from the elements is 224 meV/atom.

This record from Alexandria describes a geometry-optimized VRe3Sb structure. The functional is PBE.

```
VRe3Sb
1.0
4.570 0.000 0.000
0.000 4.570 0.000
0.000 0.000 4.570
V Re Sb
1 3 1
Direct
0.000 0.000 0.000
0.000 0.000 0.500
0.000 0.500 0.000
0.500 0.000 0.000
0.500 0.500 0.500
```

Calculated values
For the energy above the most stable polymorph in this dataset, the calculation gives 0 meV/atom. Its symmetry is Pm-3m (221). The calculation puts the density at 12.7 g/cm³.

This record from Alexandria describes a geometry-optimized InSn2Pt2 structure. The functional is PBE.

```
InSn2Pt2
1.0
7.481 0.000 0.000
0.000 7.481 0.000
0.000 0.000 3.790
In Sn Pt
2 4 4
Direct
0.000 0.000 0.000
0.500 0.500 0.000
0.160 0.340 0.500
0.340 0.840 0.500
0.660 0.160 0.500
0.840 0.660 0.500
0.140 0.640 0.000
0.360 0.140 0.000
0.640 0.860 0.000
0.860 0.360 0.000
```

Calculated values
For the energy above the most stable polymorph in this dataset, the calculation gives 0 meV/atom. Its symmetry is P4/mbm (127). The calculation puts the density at 11.6 g/cm³. Its formation energy from the elements is -276 meV/atom.

This record from Alexandria describes a geometry-optimized LiAc3Ce4Se8 structure. The functional is PBE.

```
LiAc3Ce4Se8
1.0
4.283 2.473 7.135
-4.283 2.473 7.135
0.000 -4.946 7.135
Li Ac Ce Se
1 3 4 8
Direct
0.000 0.000 0.000
0.000 0.500 0.500
0.500 0.000 0.500
0.500 0.500 0.000
0.000 0.000 0.500
0.000 0.500 0.000
0.500 0.000 0.000
0.500 0.500 0.500
0.235 0.754 0.754
0.245 0.245 0.245
0.246 0.246 0.765
0.246 0.765 0.246
0.754 0.235 0.754
0.754 0.754 0.235
0.755 0.755 0.755
0.765 0.246 0.246
```

Calculated values
Its symmetry is R-3m (166). The calculation puts the density at 6.9 g/cm³. The raw total energy is -5.88 eV/atom.

Repeat the fourth record exactly.
This record from Alexandria describes a geometry-optimized Pm7Dy4Pu structure. The functional is PBE.

```
Pm7Dy4Pu
1.0
5.657 -2.752 0.000
5.657 2.752 0.000
-3.634 0.000 12.784
Pm Dy Pu
7 4 1
Direct
0.000 0.000 0.000
0.141 0.141 0.471
0.280 0.280 0.103
0.336 0.336 0.743
0.664 0.664 0.257
0.720 0.720 0.897
0.859 0.859 0.529
0.042 0.042 0.778
0.410 0.410 0.372
0.590 0.590 0.628
0.958 0.958 0.222
0.500 0.500 0.000
```

Calculated values
Its symmetry is C2/m (12). The calculation puts the density at 8.0 g/cm³. Its formation energy from the elements is 224 meV/atom.